Entry 1:
! GGA-PBE Be4CuP, relaxed; values from VASP
! - Size of the total moment: 0.00 μB per atom
! - Formation enthalpy at 0 K: 217 meV per atom
! - Raw total energy: -23.1 eV per cell
&SYSTEM
  ibrav = 0, nat = 6, ntyp = 3
/
ATOMIC_SPECIES
Be 9.01 Be.upf
Cu 63.55 Cu.upf
P 30.97 P.upf
CELL_PARAMETERS angstrom
0.0000 3.0860 3.0860
3.0860 0.0000 3.0860
3.0860 3.0860 0.0000
ATOMIC_POSITIONS angstrom
Be 0.7740 0.7740 0.7740
Be 2.3120 2.3120 0.7740
Be 2.3120 0.7740 2.3120
Be 0.7740 2.3120 2.3120
Cu 3.0860 3.0860 3.0860
P 4.6289 4.6289 4.6289

Entry 2:
! GGA-PBE La2Tb5Nd6, relaxed; values from VASP
! - Size of the total moment: 0.00 μB per atom
! - Formation enthalpy at 0 K: 98 meV per atom
! - Raw total energy: -120.7 eV per cell
&SYSTEM
  ibrav = 0, nat = 26, ntyp = 3
/
ATOMIC_SPECIES
La 138.91 La.upf
Tb 158.93 Tb.upf
Nd 144.24 Nd.upf
CELL_PARAMETERS angstrom
11.9389 0.0000 0.0000
0.0000 20.7052 0.0000
0.0000 0.0000 3.6753
ATOMIC_POSITIONS angstrom
La 2.0154 4.5055 0.0000
La 3.9541 14.8581 0.0000
La 7.9848 5.8471 0.0000
La 9.9235 16.1997 0.0000
Tb 0.0000 10.3526 1.8377
Tb 1.0991 16.1327 1.8377
Tb 2.3876 1.1410 1.8377
Tb 3.5818 11.4936 1.8377
Tb 4.8704 5.7801 1.8377
Tb 5.9694 0.0000 1.8377
Tb 7.0685 14.9252 1.8377
Tb 8.3571 9.2117 1.8377
Tb 9.5513 19.5643 1.8377
Tb 10.8398 4.5725 1.8377
Nd 0.7109 19.1256 0.0000
Nd 0.9382 13.1651 0.0000
Nd 2.1366 7.7584 1.8377
Nd 3.8329 18.1110 1.8377
Nd 5.0313 2.8125 0.0000
Nd 5.2585 8.7730 0.0000
Nd 6.6804 11.9322 0.0000
Nd 6.9076 17.8927 0.0000
Nd 8.1060 2.5943 1.8377
Nd 9.8023 12.9469 1.8377
Nd 11.0007 7.5401 0.0000
Nd 11.2279 1.5796 0.0000

Entry 3:
! GGA-PBE K3Mn2PbBr9, relaxed; values from VASP
! - Size of the total moment: 0.67 μB per atom
! - Formation energy without anion corrections: -110.99 kJ/mol of atoms
! - Raw total energy: -57.7 eV per cell
&SYSTEM
  ibrav = 0, nat = 15, ntyp = 4
/
ATOMIC_SPECIES
K 39.10 K.upf
Mn 54.94 Mn.upf
Pb 207.20 Pb.upf
Br 79.90 Br.upf
CELL_PARAMETERS angstrom
7.7268 0.0000 0.0000
-3.8634 6.6916 0.0000
0.0000 0.0000 10.0227
ATOMIC_POSITIONS angstrom
K 0.0000 0.0000 0.0000
K 0.0000 4.4611 7.3498
K 3.8634 2.2305 2.6729
Mn 0.0000 4.4611 1.6109
Mn 3.8634 2.2305 8.4118
Pb 0.0000 0.0000 5.0113
Br -1.9317 3.3458 0.0000
Br 0.0000 2.2822 3.0701
Br -1.8870 5.5505 3.0701
Br 1.9764 1.1411 6.9526
Br 3.8634 0.0000 0.0000
Br 1.9317 3.3458 0.0000
Br 1.8870 5.5505 3.0701
Br 5.7504 1.1411 6.9526
Br 3.8634 4.4094 6.9526